1.
The following is a DFT calculation (GGA-PBEsol) of a geometry-optimized TaCoMo structure.

Calculated values
Calculated formation energy ... 0.006 eV/atom
Excess energy over the best structure of this formula in the dataset ... 0.0 meV per atom
Total energy ... -32.039 eV/cell
Space-group type ... No. 107

Cell and atoms, written as POSCAR:
```
TaCoMo
1.0
-1.346 1.346 5.878
1.346 -1.346 5.878
1.346 1.346 -5.878
Ta Co Mo
1 1 1
direct
0.000 0.000 0.000 Ta
0.658 0.658 0.000 Co
0.304 0.304 0.000 Mo
```


2.
The following is a DFT calculation (GGA-PBEsol) of a geometry-optimized La2SbPt2 structure.

Calculated values
Formation energy (no corrections) ... -1.116 eV per atom
Total energy ... -69.513 eV/cell
Space-group type ... No. 127

Cell and atoms, written as POSCAR:
```
La2SbPt2
1.0
7.676 0.000 0.000
0.000 7.676 0.000
0.000 0.000 4.034
La Sb Pt
4 2 4
direct
0.178 0.322 0.000 La
0.322 0.822 0.000 La
0.678 0.178 0.000 La
0.822 0.678 0.000 La
0.000 0.000 0.500 Sb
0.500 0.500 0.500 Sb
0.128 0.628 0.500 Pt
0.372 0.128 0.500 Pt
0.628 0.872 0.500 Pt
0.872 0.372 0.500 Pt
```


3.
The following is a DFT calculation (GGA-PBEsol) of a geometry-optimized RbLaW2Cl structure.

Calculated values
Formation energy (no corrections) ... 2.059 eV per atom
Total energy ... -25.700 eV/cell
Space-group type ... No. 123

Cell and atoms, written as POSCAR:
```
RbLaW2Cl
1.0
4.874 0.000 0.000
0.000 4.874 0.000
0.000 0.000 10.346
Rb La W Cl
1 1 2 1
direct
0.000 0.000 0.000 Rb
0.000 0.000 0.500 La
0.000 0.500 0.500 W
0.500 0.000 0.500 W
0.500 0.500 0.000 Cl
```


4.
The following is a DFT calculation (GGA-PBEsol) of a geometry-optimized MgTl structure.

Calculated values
Calculated formation energy ... -0.089 eV/atom
Total energy ... -4.524 eV/cell
Space-group type ... No. 221

Cell and atoms, written as POSCAR:
```
MgTl
1.0
3.616 0.000 0.000
0.000 3.616 0.000
0.000 0.000 3.616
Mg Tl
1 1
direct
0.000 0.000 0.000 Mg
0.500 0.500 0.500 Tl
```


5.
The following is a DFT calculation (GGA-PBEsol) of a geometry-optimized KCrRe structure.

Calculated values
Calculated formation energy ... 1.042 eV/atom
Total energy ... -21.583 eV/cell
Space-group type ... No. 107

Cell and atoms, written as POSCAR:
```
KCrRe
1.0
-1.510 1.510 6.820
1.510 -1.510 6.820
1.510 1.510 -6.820
K Cr Re
1 1 1
direct
0.000 0.000 0.000 K
0.711 0.711 0.000 Cr
0.291 0.291 0.000 Re
```


6.
The following is a DFT calculation (GGA-PBEsol) of a geometry-optimized InHg2 structure.

Calculated values
Calculated formation energy ... 0.058 eV/atom
Total energy ... -3.942 eV/cell
Space-group type ... No. 123

Cell and atoms, written as POSCAR:
```
InHg2
1.0
4.883 0.000 0.000
0.000 4.883 0.000
0.000 0.000 3.488
In Hg
1 2
direct
0.000 0.000 0.000 In
0.000 0.500 0.500 Hg
0.500 0.000 0.500 Hg
```


7.
The following is a DFT calculation (GGA-PBEsol) of a geometry-optimized B2Pb2S5 structure.

Calculated values
Formation energy (no corrections) ... -0.529 eV per atom
Total energy ... -389.678 eV/cell
Space-group type ... No. 92

Cell and atoms, written as POSCAR:
```
B2Pb2S5
1.0
9.572 0.000 0.000
0.000 9.572 0.000
0.000 0.000 15.431
B Pb S
16 16 40
direct
0.070 0.094 0.316 B
0.075 0.769 0.320 B
0.094 0.070 0.684 B
0.231 0.925 0.180 B
0.269 0.425 0.070 B
0.406 0.570 0.566 B
0.425 0.269 0.930 B
0.430 0.594 0.934 B
0.570 0.406 0.434 B
0.575 0.731 0.430 B
0.594 0.430 0.066 B
0.731 0.575 0.570 B
0.769 0.075 0.680 B
0.906 0.930 0.184 B
0.925 0.231 0.820 B
0.930 0.906 0.816 B
0.052 0.355 0.586 Pb
0.058 0.771 0.569 Pb
0.145 0.552 0.836 Pb
0.229 0.942 0.931 Pb
0.271 0.442 0.319 Pb
0.355 0.052 0.414 Pb
0.442 0.271 0.681 Pb
0.448 0.855 0.664 Pb
0.552 0.145 0.164 Pb
0.558 0.729 0.181 Pb
0.645 0.948 0.914 Pb
0.729 0.558 0.819 Pb
0.771 0.058 0.431 Pb
0.855 0.448 0.336 Pb
0.942 0.229 0.069 Pb
0.948 0.645 0.086 Pb
0.067 0.932 0.109 S
0.068 0.933 0.391 S
0.074 0.251 0.390 S
0.075 0.613 0.398 S
0.096 0.238 0.753 S
0.099 0.901 0.750 S
0.113 0.425 0.148 S
0.238 0.096 0.247 S
0.239 0.761 0.250 S
0.249 0.574 0.640 S
0.251 0.074 0.610 S
0.261 0.261 0.000 S
0.262 0.596 0.003 S
0.387 0.925 0.102 S
0.401 0.401 0.500 S
0.404 0.738 0.497 S
0.425 0.113 0.852 S
0.426 0.751 0.860 S
0.432 0.433 0.859 S
0.433 0.432 0.141 S
0.567 0.568 0.641 S
0.568 0.567 0.359 S
0.574 0.249 0.360 S
0.575 0.887 0.352 S
0.596 0.262 0.997 S
0.599 0.599 0.000 S
0.613 0.075 0.602 S
0.738 0.404 0.503 S
0.739 0.739 0.500 S
0.749 0.926 0.110 S
0.751 0.426 0.140 S
0.761 0.239 0.750 S
0.762 0.904 0.747 S
0.887 0.575 0.648 S
0.901 0.099 0.250 S
0.904 0.762 0.253 S
0.925 0.387 0.898 S
0.926 0.749 0.890 S
0.932 0.067 0.891 S
0.933 0.068 0.609 S
```


8.
The following is a DFT calculation (GGA-PBEsol) of a geometry-optimized Al3BiW structure.

Calculated values
Calculated formation energy ... 0.763 eV/atom
Total energy ... -26.552 eV/cell
Space-group type ... No. 221

Cell and atoms, written as POSCAR:
```
Al3BiW
1.0
4.879 0.000 0.000
0.000 4.879 0.000
0.000 0.000 4.879
Al Bi W
3 1 1
direct
0.000 0.000 0.500 Al
0.000 0.500 0.000 Al
0.500 0.000 0.000 Al
0.500 0.500 0.500 Bi
0.000 0.000 0.000 W
```